CaTi2RhI: relaxed, PBE.

Geometry as POSCAR:
```
CaTi2RhI
1.0
5.517 0.000 0.000
0.000 4.676 0.000
0.000 0.000 5.517
Ca Rh Ti I
1 1 2 1
direct
0.000 0.000 0.000
0.000 0.500 0.000
0.500 0.000 0.000
0.000 0.000 0.500
0.500 0.500 0.500
```

Values from the calculation:
Raw formation energy   1487 meV per atom
Space group   P4/mmm (123)
Final energy   -19.26 eV/cell
Size of the total moment   1.14 μB per atom

***

TlCdSbF2: relaxed, PBE.

Geometry as POSCAR:
```
TlCdSbF2
1.0
4.464 0.000 0.000
0.000 6.080 0.000
0.000 0.000 4.464
F Sb Cd Tl
2 1 1 1
direct
0.000 0.000 0.500
0.500 0.000 0.000
0.000 0.000 0.000
0.000 0.500 0.000
0.500 0.500 0.500
```

Values from the calculation:
Raw formation energy   -1084 meV per atom
Space group   P4/mmm (123)
Final energy   -16.57 eV/cell
Size of the total moment   0.00 μB per atom

***

VBSe: relaxed, PBE.

Geometry as POSCAR:
```
VBSe
1.0
5.290 0.000 0.000
0.000 4.823 0.372
0.000 0.402 6.662
B V Se
4 4 4
direct
0.342 0.001 0.000
0.158 0.001 0.500
0.658 0.999 0.000
0.842 0.999 0.500
0.988 0.093 0.183
0.512 0.093 0.683
0.012 0.907 0.817
0.488 0.907 0.317
0.666 0.368 0.355
0.334 0.632 0.645
0.166 0.632 0.145
0.834 0.368 0.855
```

Values from the calculation:
Raw formation energy   -246 meV per atom
Space group   P2_1/c (14)
Final energy   -80.07 eV/cell
Size of the total moment   0.00 μB per atom